[1]
# La2IrRh

A relaxed structure of La2IrRh (GGA-PBE, Alexandria).

The structure in POSCAR format:
```
La2IrRh
1.0
6.013 0.002 0.007
4.676 3.781 0.007
-0.004 -0.001 4.229
La Rh Ir
2 1 1
Cartesian
0.149 0.053 0.529 La
7.855 2.779 2.653 La
4.939 1.748 2.650 Rh
3.086 1.092 0.533 Ir
```

Calculated values
- Magnetization: 0.00 μB/atom
- VASP energy: -7.24 eV per atom

=====

[2]
# La8Ir2Rh3

A relaxed structure of La8Ir2Rh3 (GGA-PBE, Alexandria).

The structure in POSCAR format:
```
La8Ir2Rh3
1.0
-3.679 1.558 5.870
2.671 -5.193 6.117
5.510 2.784 5.779
Rh La Ir
3 8 2
Cartesian
3.393 -3.164 6.031 Rh
4.788 0.756 5.865 Rh
-1.839 0.779 2.935 Rh
6.326 -1.747 11.922 La
-1.823 0.896 5.843 La
0.984 2.407 8.848 La
5.022 0.965 8.739 La
2.277 -0.567 5.746 La
3.518 -3.258 8.918 La
2.225 -0.283 12.019 La
-0.519 -1.816 9.027 La
-1.499 0.904 8.757 Ir
6.001 -1.755 9.008 Ir
```

Calculated values
- Magnetization: 0.00 μB/atom
- VASP energy: -6.74 eV per atom

=====

[3]
# La8Ir2Rh

A relaxed structure of La8Ir2Rh (GGA-PBE, Alexandria).

The structure in POSCAR format:
```
La8Ir2Rh
1.0
-2.438 -4.361 4.404
6.899 -3.058 -1.373
0.506 6.296 4.351
Rh Ir La
1 2 8
Cartesian
-0.358 -0.752 0.829 Rh
1.364 1.260 4.711 Ir
3.747 -2.227 2.576 Ir
5.819 -0.238 3.114 La
-0.712 -0.652 4.084 La
2.206 0.339 1.910 La
2.872 -1.320 5.364 La
4.105 2.270 4.649 La
-0.644 0.153 7.556 La
3.229 -5.513 4.088 La
1.020 -3.187 2.532 La
```

Calculated values
- Magnetization: 0.00 μB/atom
- VASP energy: -6.28 eV per atom

=====

[4]
# La4Ir2Rh

A relaxed structure of La4Ir2Rh (GGA-PBE, Alexandria).

The structure in POSCAR format:
```
La4Ir2Rh
1.0
-0.717 1.101 -4.170
6.228 -3.482 -1.990
-5.960 -4.098 2.235
Rh Ir La
1 2 4
Cartesian
0.000 0.000 0.000 Rh
-1.548 -2.554 -0.408 Ir
1.098 -3.926 -3.517 Ir
-0.093 -1.365 -2.637 La
-0.357 -5.114 -1.289 La
-3.701 -2.733 -2.378 La
3.252 -3.746 -1.548 La
```

Calculated values
- Magnetization: 0.00 μB/atom
- VASP energy: -7.10 eV per atom

=====

[5]
# LaIr2Rh

A relaxed structure of LaIr2Rh (GGA-PBE, Alexandria).

The structure in POSCAR format:
```
LaIr2Rh
1.0
0.000 3.322 3.322
3.322 0.000 3.322
3.322 3.322 0.000
Rh Ir La
1 2 1
Cartesian
1.661 1.661 1.661 Rh
0.000 0.000 0.000 Ir
4.983 4.983 4.983 Ir
3.322 3.322 3.322 La
```

Calculated values
- Magnetization: 0.40 μB/atom
- VASP energy: -7.40 eV per atom
- Excess energy over the best structure of this formula in the dataset: 320 meV/atom

=====

[6]
# La2IrRh

A relaxed structure of La2IrRh (GGA-PBE, Alexandria).

The structure in POSCAR format:
```
La2IrRh
1.0
6.866 -2.086 -0.003
6.866 2.086 -0.003
6.234 0.000 3.554
Rh La Ir
1 2 1
Cartesian
0.000 0.000 0.000 Rh
4.966 0.000 0.883 La
15.001 0.000 2.666 La
9.984 0.000 1.774 Ir
```

Calculated values
- Magnetization: 0.00 μB/atom
- VASP energy: -7.09 eV per atom

=====

E_form in eV per atom, matching the order above: -0.7224 -0.6519 -0.4158 -0.7036 0.0982 -0.5712
Theoretical density in g/cm3, matching the order above: 9.90 7.25 7.73 8.57 14.19 9.34
DOS(E_F) in states/eV/atom, matching the order above: 0.334 0.668 0.921 0.607 1.948 0.165